First-principles (PBE) data for an optimized crystal structure of YTmSe2, as listed in Alexandria.

```
YTmSe2
1.0
4.232 0.000 -0.001
0.001 6.395 0.000
0.000 0.000 9.073
Y Tm Se
2 2 4
Cartesian
0.852 5.958 1.752 Y
2.966 2.761 0.207 Y
0.850 5.095 7.011 Tm
2.967 1.898 4.020 Tm
2.969 4.207 2.566 Se
2.966 3.499 6.365 Se
0.851 0.301 4.666 Se
0.851 1.009 8.466 Se
```

- energy relative to the lowest polymorph listed for this composition (meV/atom) = 333
- energy relative to the elements, uncorrected (eV per atom) = -1.3895
- E_tot (eV per atom) = -5.866